P.
SbPdWI2 (PBE, relaxed); space-group type = P4/mmm, No. 123; magnetic moment = 3.496 μB per cell
1.0
-4.960 0.124 1.993
-1.802 -2.579 -4.324
0.861 -4.684 2.435
I Sb Pd W
2 1 1 1
Cartesian
-0.901 -1.289 -2.162
-2.480 0.062 0.997
0.431 -2.342 1.218
0.000 0.000 0.000
-2.951 -3.570 0.052

---

Q.
SbPdWI2 (PBE, relaxed); space-group type = P4/mmm, No. 123; magnetic moment = 0.702 μB per cell
1.0
5.504 0.000 0.000
0.000 5.504 0.000
0.000 0.000 5.236
I Sb Pd W
2 1 1 1
Cartesian
0.000 2.752 0.000
2.752 0.000 0.000
0.000 0.000 2.618
2.752 2.752 2.618
0.000 0.000 0.000

---

Relative energies in kJ/mol of atoms: P 29.8; Q 0.0

---

P.
Sb2PdWI (PBE, relaxed); space-group type = P4/mmm, No. 123; magnetic moment = 0.000 μB per cell
1.0
5.237 0.000 0.000
0.000 5.155 0.000
0.000 0.000 5.237
I Sb Pd W
1 2 1 1
Cartesian
2.619 2.578 2.619
0.000 0.000 2.619
2.619 0.000 0.000
0.000 2.578 0.000
0.000 0.000 0.000

---

Q.
Sb2PdWI (PBE, relaxed); space-group type = P4/mmm, No. 123; magnetic moment = 0.247 μB per cell
1.0
-0.809 3.280 -3.899
0.266 -3.916 -3.349
-5.679 -0.810 0.497
I Sb Pd W
1 2 1 1
Cartesian
-2.839 -0.405 0.248
0.133 -1.958 -1.674
-0.404 1.640 -1.950
-3.111 -0.723 -3.376
0.000 0.000 0.000

---

R.
Sb2PdWI (PBE, relaxed); space-group type = P4/mmm, No. 123; magnetic moment = 3.075 μB per cell
1.0
5.167 0.000 0.000
0.000 5.167 0.000
0.000 0.000 5.361
I Sb Pd W
1 2 1 1
Cartesian
0.000 0.000 2.680
0.000 2.583 0.000
2.583 0.000 0.000
0.000 0.000 0.000
2.583 2.583 2.680

---

Relative energies in kJ/mol of atoms: P 0.0; Q 18.6; R 55.3

---

P.
ZnSbPdI2 (PBE, relaxed); space-group type = P4/mmm, No. 123; magnetic moment = 0.001 μB per cell
1.0
5.559 0.000 0.000
0.000 5.559 0.000
0.000 0.000 5.194
I Sb Zn Pd
2 1 1 1
Cartesian
0.000 2.780 0.000
2.780 0.000 0.000
0.000 0.000 2.597
0.000 0.000 0.000
2.780 2.780 2.597

---

Q.
ZnSbPdI2 (PBE, relaxed); space-group type = P4/mmm, No. 123; magnetic moment = 0.000 μB per cell
1.0
-2.313 3.807 -3.508
-1.652 -4.184 -3.452
-4.439 -0.350 2.548
I Sb Zn Pd
2 1 1 1
Cartesian
-0.826 -2.092 -1.726
-1.157 1.904 -1.754
-2.219 -0.175 1.274
-4.202 -0.363 -2.206
0.000 0.000 0.000

---

Relative energies in kJ/mol of atoms: P 32.1; Q 0.0

---

P.
ScPdI3 (PBE, relaxed); space-group type = Pm-3m, No. 221; magnetic moment = 0.000 μB per cell
1.0
5.696 0.000 0.000
0.000 5.696 0.000
0.000 0.000 5.696
I Sc Pd
3 1 1
Cartesian
0.000 2.848 0.000
0.000 0.000 2.848
2.848 0.000 0.000
0.000 0.000 0.000
2.848 2.848 2.848

---

Q.
ScPdI3 (PBE, relaxed); space-group type = Pm-3m, No. 221; magnetic moment = 1.217 μB per cell
1.0
5.480 0.000 0.000
0.000 5.480 0.000
0.000 0.000 5.480
I Sc Pd
3 1 1
Cartesian
0.000 2.740 0.000
0.000 0.000 2.740
2.740 0.000 0.000
2.740 2.740 2.740
0.000 0.000 0.000

---

Relative energies in kJ/mol of atoms: P 0.0; Q 22.4

---

P.
ScPdI2 (PBE, relaxed); space-group type = I-42d, No. 122; magnetic moment = 2.000 μB per cell
1.0
6.604 0.000 0.000
0.000 6.604 0.000
3.302 3.302 6.081
I Sc Pd
4 2 2
Cartesian
5.061 1.651 1.520
1.543 4.953 1.520
4.953 4.845 4.561
8.255 8.363 4.561
3.302 3.302 0.000
3.302 6.604 3.041
0.000 0.000 0.000
6.604 3.302 3.041

---

Q.
ScPdI2 (PBE, relaxed); space-group type = Fm-3m, No. 225; magnetic moment = 0.766 μB per cell
1.0
0.000 3.641 3.641
3.641 0.000 3.641
3.641 3.641 0.000
I Sc Pd
2 1 1
Cartesian
1.821 1.821 1.821
5.462 5.462 5.462
0.000 0.000 0.000
3.641 3.641 3.641

---

Relative energies in kJ/mol of atoms: P 0.0; Q 3.7

---

P.
Pd2SeI (PBE, relaxed); space-group type = Fm-3m, No. 225; magnetic moment = 0.000 μB per cell
1.0
3.592 -2.658 -1.766
0.878 -4.362 1.814
-0.968 -3.923 -2.601
I Se Pd
1 1 2
Cartesian
1.751 -5.471 -1.276
0.000 0.000 0.000
0.875 -2.736 -0.638
2.626 -8.207 -1.915

---

Q.
Pd2SeI (PBE, relaxed); space-group type = I-42d, No. 122; magnetic moment = 0.000 μB per cell
1.0
-4.819 -1.043 -3.915
-3.186 -2.784 4.663
-6.103 2.744 1.719
I Se Pd
2 2 4
Cartesian
0.000 0.000 0.000
-7.462 -0.106 -0.911
-4.002 -1.913 0.374
-6.646 -0.977 3.378
-4.723 -0.268 -1.262
-4.332 -1.230 2.682
-7.720 0.500 1.775
-11.441 -1.168 1.738

---

Relative energies in kJ/mol of atoms: P 25.9; Q 0.0

---

P.
Pd2SeI (PBE, relaxed); space-group type = R-3m, No. 166; magnetic moment = 0.000 μB per cell
1.0
4.260 0.000 0.000
2.130 3.689 0.000
2.130 1.230 6.774
I Se Pd
1 1 2
Cartesian
0.000 0.000 0.000
4.260 2.459 3.387
2.130 1.230 4.097
6.389 3.689 2.677

---

Q.
Pd2SeI (PBE, relaxed); space-group type = C2/c, No. 15; magnetic moment = 0.000 μB per cell
1.0
4.281 -0.001 0.000
-0.001 7.427 -0.135
-2.142 -2.737 6.500
Pd Se I
4 2 2
Cartesian
-1.076 4.036 4.303
3.273 -0.940 3.005
1.063 2.774 2.941
1.133 0.320 4.369
1.098 5.261 3.586
-1.042 1.548 3.655
0.028 6.630 0.336
0.033 2.916 0.404

---

Relative energies in kJ/mol of atoms: P 0.0; Q 4.8

---

P.
Pd2Se3I (PBE, relaxed); space-group type = C2/c, No. 15; magnetic moment = 0.000 μB per cell
1.0
6.051 0.065 0.082
-0.662 6.015 0.082
-0.849 -0.958 8.116
Pd Se I
4 6 2
Cartesian
0.416 1.844 1.884
3.184 4.966 2.338
4.124 3.278 6.396
1.356 0.156 5.942
3.355 3.107 3.972
2.283 1.897 0.249
1.185 2.015 4.307
2.257 3.225 8.030
4.077 1.387 2.111
0.463 3.735 6.169
0.067 4.941 2.111
4.473 0.181 6.169

---

Q.
Pd2Se3I (PBE, relaxed); space-group type = P-3m1, No. 164; magnetic moment = 0.000 μB per cell
1.0
7.732 0.000 0.000
-3.866 6.697 0.000
0.000 0.000 5.510
Pd Se I
4 6 2
Cartesian
0.000 0.000 0.000
-1.933 3.348 0.000
1.933 3.348 0.000
3.866 0.000 0.000
0.000 2.289 4.318
-1.884 5.552 4.318
1.884 5.552 4.318
1.982 1.144 1.192
3.866 4.408 1.192
5.750 1.144 1.192
0.000 4.464 1.940
3.866 2.232 3.570

---

Relative energies in kJ/mol of atoms: P 17.1; Q 0.0